(1)
The following is a DFT calculation (PBE) of a relaxed K3Sm2HfS6 crystal.

Lattice parameters (Å, degrees): 6.9248 11.9959 7.7518 90.00 107.42 90.00
Space group C2/m (No. 12)
Asymmetric unit:
K 0.0000 0.0000 0.0000 x2
K 0.0000 0.3295 0.0000 x4
Sm 0.0000 0.1663 0.5000 x4
Hf 0.0000 0.5000 0.5000 x2
S 0.2229 0.3448 0.7027 x8
S 0.2419 0.5000 0.2968 x4

Output
For the energy, the calculation gives -135.92 eV/cell. The density of states at the Fermi level is 8.1 states/eV per cell. For the formation energy from raw total energies, the calculation gives -1709 meV/atom. The calculation puts the calculated density at 4.26 g/cm3.

(2)
The following is a DFT calculation (PBE) of a relaxed AlNiRh crystal.

Lattice parameters (Å, degrees): 2.8952 2.8952 9.1942 90.00 90.00 90.00
Space group I4mm (No. 107)
Asymmetric unit:
Al 0.0000 0.0000 0.0000 x2
Ni 0.0000 0.0000 0.6508 x2
Rh 0.0000 0.0000 0.3344 x2

Output
For the energy, the calculation gives -37.01 eV/cell. The density of states at the Fermi level is 7.0 states/eV per cell. The formation energy from the elements is -0.5440 eV per atom. The calculation puts the calculated density at 8.13 g/cm3. The value obtained for the energy relative to the lowest polymorph listed for this composition is 0.033 eV per atom.

(3)
The following is a DFT calculation (PBE) of a relaxed Cs3HgSe2 crystal.

Lattice parameters (Å, degrees): 8.2796 15.6721 9.2730 90.00 90.00 90.00
Space group Ibam (No. 72)
Asymmetric unit:
Cs 0.0000 0.0000 0.2500 x4
Cs 0.0000 0.2715 0.2500 x8
Hg 0.0000 0.5000 0.0000 x4
Se 0.2377 0.1268 0.0000 x8

Output
For the energy, the calculation gives -58.23 eV/cell. The density of states at the Fermi level is 12.4 states/eV per cell. For the formation energy from raw total energies, the calculation gives -788 meV/atom. The calculation puts the calculated density at 4.18 g/cm3.

(4)
The following is a DFT calculation (PBE) of a relaxed La2Pm3Y crystal.

Lattice parameters (Å, degrees): 6.9077 17.7894 3.4359 90.00 90.00 90.00
Space group Pnnm (No. 58)
Asymmetric unit:
La 0.2427 0.1569 0.0000 x4
Pm 0.0000 0.0000 0.5000 x2
Pm 0.2452 0.8282 0.0000 x4
Y 0.0000 0.5000 0.5000 x2

Output
For the energy, the calculation gives -58.31 eV/cell. The density of states at the Fermi level is 21.9 states/eV per cell. The formation energy from the elements is 0.2360 eV per atom. The calculation puts the calculated density at 6.31 g/cm3. The value obtained for the energy relative to the lowest polymorph listed for this composition is 0.000 eV per atom.

(5)
The following is a DFT calculation (PBE) of a relaxed TeMoP3 crystal.

Lattice parameters (Å, degrees): 4.7333 4.7333 4.7333 90.00 90.00 90.00
Space group Pm-3m (No. 221)
Asymmetric unit:
Te 0.0000 0.0000 0.0000 x1
Mo 0.5000 0.5000 0.5000 x1
P 0.0000 0.5000 0.5000 x3

Output
For the energy, the calculation gives -27.68 eV/cell. The density of states at the Fermi level is 4.3 states/eV per cell. For the formation energy from raw total energies, the calculation gives 505 meV/atom. The calculation puts the calculated density at 4.96 g/cm3. The value obtained for the energy relative to the lowest polymorph listed for this composition is 0.000 eV per atom.

(6)
The following is a DFT calculation (PBE) of a relaxed SmHo4Tm6 crystal.

Lattice parameters (Å, degrees): 5.5788 9.6088 25.4290 90.00 90.00 90.00
Space group Cmcm (No. 63)
Asymmetric unit:
Sm 0.0000 0.1702 0.2500 x4
Ho 0.0000 0.1653 0.5415 x8
Ho 0.0000 0.4955 0.6214 x8
Tm 0.0000 0.1627 0.6810 x8
Tm 0.0000 0.1703 0.1023 x8
Tm 0.0000 0.4962 0.7500 x4
Tm 0.0000 0.5000 0.0000 x4

Output
For the energy, the calculation gives -194.02 eV/cell. The density of states at the Fermi level is 73.2 states/eV per cell. The formation energy from the elements is 0.1232 eV per atom. The calculation puts the calculated density at 8.89 g/cm3. The value obtained for the energy relative to the lowest polymorph listed for this composition is 0.000 eV per atom.

(7)
The following is a DFT calculation (PBE) of a relaxed ZrCoAg2 crystal.

Lattice parameters (Å, degrees): 3.8202 3.8202 9.1313 90.00 90.00 90.00
Space group I4/mmm (No. 139)
Asymmetric unit:
Zr 0.0000 0.0000 0.0000 x2
Co 0.0000 0.0000 0.5000 x2
Ag 0.0000 0.5000 0.2500 x4

Output
For the energy, the calculation gives -42.60 eV/cell. The density of states at the Fermi level is 2.9 states/eV per cell. The formation energy from the elements is 0.0144 eV per atom. The calculation puts the calculated density at 9.12 g/cm3. The value obtained for the energy relative to the lowest polymorph listed for this composition is 0.000 eV per atom.